1.
4
Lattice="0.000 3.371 3.371 3.371 0.000 3.371 3.371 3.371 0.000" Properties=species:S:1:pos:R:3 comment="CeTlNiRh | the Alexandria database | GGA-PBE | optimized geometry" crystal_system=cubic pbc="T T T"
Ce 0.000 0.000 0.000
Tl 3.371 3.371 3.371
Ni 1.686 1.686 1.686
Rh 5.057 5.057 5.057

---

2.
4
Lattice="0.000 3.421 3.421 3.421 0.000 3.421 3.421 3.421 0.000" Properties=species:S:1:pos:R:3 comment="CeTmNiRh | the Alexandria database | GGA-PBE | optimized geometry" crystal_system=cubic relative_energy_mev_per_atom=87 pbc="T T T"
Ce 0.000 0.000 0.000
Tm 3.421 3.421 3.421
Ni 5.131 5.131 5.131
Rh 1.710 1.710 1.710

---

3.
4
Lattice="4.460 0.000 0.000 0.000 1.823 5.013 0.000 -1.823 5.013" Properties=species:S:1:pos:R:3 comment="CeTmNiRh | the Alexandria database | GGA-PBE | optimized geometry" crystal_system=orthorhombic relative_energy_mev_per_atom=0 pbc="T T T"
Ce 0.000 0.000 0.000
Tm 2.230 0.000 2.797
Ni 2.230 0.000 5.617
Rh 0.000 0.000 7.365

---

Number 1: calculated total energy -5.652 eV/atom, N(E_F) 4.784 states/eV per cell, E_form -0.29 eV/atom. Number 2: calculated total energy -6.435 eV/atom, N(E_F) 6.988 states/eV per cell, E_form -0.55 eV/atom. Number 3: calculated total energy -6.522 eV/atom, N(E_F) 4.238 states/eV per cell, E_form -0.64 eV/atom.